Entry 1:
Crystalline LiTaTl3 at its relaxed geometry, computed with PBE.

Lattice parameters (Å, degrees): 5.5006 5.5006 5.5006 90.00 90.00 90.00
Element x y z (fractional)
Tl 0.0000 0.5000 0.0000
Tl 0.5000 0.0000 0.0000
Tl 0.0000 0.0000 0.5000
Li 0.5000 0.5000 0.5000
Ta 0.0000 0.0000 0.0000

Computed properties:
N(E_F), states/eV per cell: 3.53
Crystal system: cubic



Entry 2:
Crystalline LiTaTl2 at its relaxed geometry, computed with PBE.

Lattice parameters (Å, degrees): 5.8063 5.8063 5.8063 148.87 123.07 66.32
Element x y z (fractional)
Tl 0.9807 0.9807 0.0000
Tl 0.5193 0.5193 0.0000
Li 0.7500 0.2500 0.5000
Ta 0.2500 0.7500 0.5000

Computed properties:
N(E_F), states/eV per cell: 2.75
Crystal system: orthorhombic



Entry 3:
Crystalline LiTaTl2 at its relaxed geometry, computed with PBE.

Lattice parameters (Å, degrees): 3.0867 3.0867 10.2771 90.00 90.00 113.87
Element x y z (fractional)
Ta 0.5000 0.5000 0.7400
Tl 0.0000 0.0000 0.9845
Tl 0.5000 0.5000 0.2650
Li 0.0000 0.0000 0.5105

Computed properties:
N(E_F), states/eV per cell: 3.39
Crystal system: orthorhombic



Entry 4:
Crystalline LiTaTl2 at its relaxed geometry, computed with PBE.

Lattice parameters (Å, degrees): 4.9983 4.9983 4.9983 60.00 60.00 60.00
Last column: magnetic moment on the atom in μB.
Element x y z (fractional)
Tl 0.0000 0.0000 0.0000  0.01
Tl 0.2500 0.2500 0.2500  -0.01
Ta 0.7500 0.7500 0.7500  1.23
Li 0.5000 0.5000 0.5000  0.01

Computed properties:
N(E_F), states/eV per cell: 3.81
Crystal system: cubic



Entry 5:
Crystalline LiTaTl3 at its relaxed geometry, computed with PBE.

Lattice parameters (Å, degrees): 4.9045 4.9045 4.9045 90.00 90.00 90.00
Element x y z (fractional)
Tl 0.5000 0.0000 0.0000
Tl 0.0000 0.0000 0.5000
Tl 0.0000 0.5000 0.0000
Li 0.0000 0.0000 0.0000
Ta 0.5000 0.5000 0.5000

Computed properties:
N(E_F), states/eV per cell: 6.05
Crystal system: cubic



Entry 6:
Crystalline LiTa3Tl at its relaxed geometry, computed with PBE.

Lattice parameters (Å, degrees): 4.4902 4.4902 4.4902 90.00 90.00 90.00
Element x y z (fractional)
Ta 0.0000 0.0000 0.5000
Ta 0.5000 0.0000 0.0000
Ta 0.0000 0.5000 0.0000
Tl 0.5000 0.5000 0.5000
Li 0.0000 0.0000 0.0000

Computed properties:
N(E_F), states/eV per cell: 6.64
Crystal system: cubic



Entry 7:
Crystalline LiTaTl2 at its relaxed geometry, computed with PBE.

Lattice parameters (Å, degrees): 3.0241 3.0241 9.0874 90.00 90.00 90.91
Element x y z (fractional)
Tl 0.0000 0.0000 0.0089
Tl 0.0000 0.0000 0.4911
Li 0.5000 0.5000 0.2500
Ta 0.5000 0.5000 0.7500

Computed properties:
N(E_F), states/eV per cell: 2.44
Crystal system: orthorhombic



Entry 8:
Crystalline LiTaTl2 at its relaxed geometry, computed with PBE.

Lattice parameters (Å, degrees): 5.7305 5.7305 5.1610 74.23 74.23 31.26
Element x y z (fractional)
Tl 0.9962 0.9962 0.1021
Tl 0.7485 0.7485 0.6631
Ta 0.2531 0.2531 0.1594
Li 0.5021 0.5021 0.5755

Computed properties:
N(E_F), states/eV per cell: 1.79
Crystal system: monoclinic



Entry 9:
Crystalline LiTaTl2 at its relaxed geometry, computed with PBE.

Lattice parameters (Å, degrees): 3.0401 3.0401 9.5999 90.00 90.00 90.00
Element x y z (fractional)
Tl 0.5000 0.5000 0.2693
Tl 0.0000 0.0000 0.9768
Ta 0.5000 0.5000 0.7384
Li 0.0000 0.0000 0.5155

Computed properties:
N(E_F), states/eV per cell: 2.91
Crystal system: tetragonal



Entry 10:
Crystalline LiTaTl2 at its relaxed geometry, computed with PBE.

Lattice parameters (Å, degrees): 4.9005 4.9005 6.1564 82.31 82.31 36.33
Element x y z (fractional)
Li 0.7500 0.7500 0.7500
Ta 0.2500 0.2500 0.2500
Tl 0.4976 0.4976 0.5020
Tl 0.0024 0.0024 0.9980

Computed properties:
N(E_F), states/eV per cell: 2.38
Crystal system: monoclinic



Entry 11:
Crystalline LiTaTl2 at its relaxed geometry, computed with PBE.

Lattice parameters (Å, degrees): 4.4578 4.4578 10.0881 77.24 77.24 90.00
Element x y z (fractional)
Li 0.2500 0.7500 0.5000
Li 0.5000 0.5000 0.0000
Tl 0.8750 0.8775 0.7500
Tl 0.3750 0.3725 0.7500
Tl 0.6275 0.1250 0.2500
Tl 0.1225 0.6250 0.2500
Ta 0.7500 0.2500 0.5000
Ta 0.0000 0.0000 0.0000

Computed properties:
N(E_F), states/eV per cell: 2.96
Crystal system: tetragonal



Entry 12:
Crystalline LiTaTl2 at its relaxed geometry, computed with PBE.

Lattice parameters (Å, degrees): 3.1949 5.5422 4.9178 90.00 90.00 90.00
Element x y z (fractional)
Tl 0.0000 0.0000 0.0000
Tl 0.5000 0.5000 0.0000
Ta 0.0000 0.5000 0.5000
Li 0.5000 0.0000 0.5000

Computed properties:
N(E_F), states/eV per cell: 2.48
Crystal system: orthorhombic



Calculated values (eV per atom) of calculated formation energy for the records, taken in order: 0.572, 0.543, 0.439, 0.828, 0.979, 1.092, 0.255, 0.299, 0.454, 0.425, 0.812, 0.547.
Calculated values (eV per atom) of total DFT energy (no corrections) for the records, taken in order: -3.60, -4.08, -4.19, -3.80, -3.19, -6.88, -4.37, -4.33, -4.17, -4.20, -3.81, -4.08.